Entry 1:
# ErTaPdRu

An optimized crystal structure of ErTaPdRu (PBE, Alexandria).

Magnetization, μB per cell: 0.000
Density of states at the Fermi level, states/eV/f.u.: 3.186
Formation energy, eV per atom: -0.35
DFT total energy, eV/atom: -8.070
Space group: No. 216

abc: 4.6668 4.6668 4.6668
angles: 60.00 60.00 60.00
Fractional coordinates of all 4 atoms:
Pd 0.2500 0.2500 0.2500
Er 0.5000 0.5000 0.5000
Ta 0.0000 0.0000 0.0000
Ru 0.7500 0.7500 0.7500



Entry 2:
# Tb3Er3PdRu2

An optimized crystal structure of Tb3Er3PdRu2 (PBE, Alexandria).

Magnetization, μB per cell: 0.000
Density of states at the Fermi level, states/eV/f.u.: 7.670
Formation energy, eV per atom: -0.38
DFT total energy, eV/atom: -6.079
Space group: No. 189

abc: 4.7626 7.2734 7.2734
angles: 120.00 90.00 90.00
Fractional coordinates of all 9 atoms:
Er 0.0000 0.0000 0.4132
Ru 0.5000 0.3333 0.6667
Tb 0.5000 0.2693 0.2693
Ru 0.5000 0.6667 0.3333
Tb 0.5000 0.0000 0.7307
Er 0.0000 0.5868 0.5868
Pd 0.0000 0.0000 0.0000
Er 0.0000 0.4132 0.0000
Tb 0.5000 0.7307 0.0000



Entry 3:
# TbErPdRu

An optimized crystal structure of TbErPdRu (PBE, Alexandria).

Magnetization, μB per cell: 0.000
Distance to the lowest polymorph of the same formula, meV/atom: 35
Density of states at the Fermi level, states/eV/f.u.: 1.814
Formation energy, eV per atom: -0.66
DFT total energy, eV/atom: -6.573
Space group: No. 216

abc: 4.8653 4.8653 4.8653
angles: 60.00 60.00 60.00
Fractional coordinates of all 4 atoms:
Er 0.7500 0.7500 0.7500
Pd 0.0000 0.0000 0.0000
Ru 0.5000 0.5000 0.5000
Tb 0.2500 0.2500 0.2500



Entry 4:
# TbErPdRu

An optimized crystal structure of TbErPdRu (PBE, Alexandria).

Magnetization, μB per cell: 0.000
Distance to the lowest polymorph of the same formula, meV/atom: 0
Density of states at the Fermi level, states/eV/f.u.: 1.877
Formation energy, eV per atom: -0.69
DFT total energy, eV/atom: -6.608
Space group: No. 99

abc: 3.4402 3.4402 6.9125
angles: 90.00 90.00 90.00
Fractional coordinates of all 4 atoms:
Er 0.5000 0.5000 0.5978
Ru 0.0000 0.0000 0.3610
Pd 0.0000 0.0000 0.8516
Tb 0.5000 0.5000 0.1176



Entry 5:
# ErThPdRu

An optimized crystal structure of ErThPdRu (PBE, Alexandria).

Magnetization, μB per cell: 0.000
Density of states at the Fermi level, states/eV/f.u.: 3.247
Formation energy, eV per atom: -0.61
DFT total energy, eV/atom: -7.222
Space group: No. 216

abc: 4.9758 4.9758 4.9758
angles: 60.00 60.00 60.00
Fractional coordinates of all 4 atoms:
Er 0.0000 0.0000 0.0000
Pd 0.2500 0.2500 0.2500
Th 0.5000 0.5000 0.5000
Ru 0.7500 0.7500 0.7500



Entry 6:
# ErTiPdRu

An optimized crystal structure of ErTiPdRu (PBE, Alexandria).

Magnetization, μB per cell: 0.003
Density of states at the Fermi level, states/eV/f.u.: 3.263
Formation energy, eV per atom: -0.54
DFT total energy, eV/atom: -7.274
Space group: No. 216

abc: 4.6288 4.6288 4.6288
angles: 60.00 60.00 60.00
Fractional coordinates of all 4 atoms:
Er 0.0000 0.0000 0.0000
Ti 0.5000 0.5000 0.5000
Ru 0.7500 0.7500 0.7500
Pd 0.2500 0.2500 0.2500



Entry 7:
# ErTlPdRu

An optimized crystal structure of ErTlPdRu (PBE, Alexandria).

Magnetization, μB per cell: 0.000
Density of states at the Fermi level, states/eV/f.u.: 1.312
Formation energy, eV per atom: -0.32
DFT total energy, eV/atom: -5.670
Space group: No. 216

abc: 4.7458 4.7458 4.7458
angles: 60.00 60.00 60.00
Fractional coordinates of all 4 atoms:
Tl 0.5000 0.5000 0.5000
Ru 0.7500 0.7500 0.7500
Pd 0.2500 0.2500 0.2500
Er 0.0000 0.0000 0.0000



Entry 8:
# ErVPdRu

An optimized crystal structure of ErVPdRu (PBE, Alexandria).

Magnetization, μB per cell: 1.642
Density of states at the Fermi level, states/eV/f.u.: 3.759
Formation energy, eV per atom: -0.27
DFT total energy, eV/atom: -7.304
Space group: No. 216

abc: 4.5913 4.5913 4.5913
angles: 60.00 60.00 60.00
Site moments in Bohr magnetons follow the coordinates.
Fractional coordinates of all 4 atoms:
Pd 0.2500 0.2500 0.2500  0.12
Ru 0.7500 0.7500 0.7500  -0.38
Er 0.5000 0.5000 0.5000  0.01
V 0.0000 0.0000 0.0000  1.66



Among the records above, which one has the highest formation energy? ErVPdRu



Copy entry 8 word for word.
# ErVPdRu

An optimized crystal structure of ErVPdRu (PBE, Alexandria).

Magnetization, μB per cell: 1.642
Density of states at the Fermi level, states/eV/f.u.: 3.759
Formation energy, eV per atom: -0.27
DFT total energy, eV/atom: -7.304
Space group: No. 216

abc: 4.5913 4.5913 4.5913
angles: 60.00 60.00 60.00
Site moments in Bohr magnetons follow the coordinates.
Fractional coordinates of all 4 atoms:
Pd 0.2500 0.2500 0.2500  0.12
Ru 0.7500 0.7500 0.7500  -0.38
Er 0.5000 0.5000 0.5000  0.01
V 0.0000 0.0000 0.0000  1.66



Please write out number 2 again, unchanged.
# Tb3Er3PdRu2

An optimized crystal structure of Tb3Er3PdRu2 (PBE, Alexandria).

Magnetization, μB per cell: 0.000
Density of states at the Fermi level, states/eV/f.u.: 7.670
Formation energy, eV per atom: -0.38
DFT total energy, eV/atom: -6.079
Space group: No. 189

abc: 4.7626 7.2734 7.2734
angles: 120.00 90.00 90.00
Fractional coordinates of all 9 atoms:
Er 0.0000 0.0000 0.4132
Ru 0.5000 0.3333 0.6667
Tb 0.5000 0.2693 0.2693
Ru 0.5000 0.6667 0.3333
Tb 0.5000 0.0000 0.7307
Er 0.0000 0.5868 0.5868
Pd 0.0000 0.0000 0.0000
Er 0.0000 0.4132 0.0000
Tb 0.5000 0.7307 0.0000



Look up the density of states at the Fermi level of the sixth one. 3.263 states/eV/f.u.